(1)
DFT (PBE) results for Pm2PrCd6 after structural relaxation.

a b c (Å): 3.4629 8.8008 8.8008
angles (deg): 120.00 90.00 90.00
Site moments in Bohr magnetons follow the coordinates.
Fractional positions:
Pr 0.0000 0.0000 0.0000  0.08
Pm 0.0000 0.3333 0.6667  0.05
Cd 0.5000 0.0000 0.6654  0.00
Cd 0.5000 0.6654 0.0000  0.00
Pm 0.0000 0.6667 0.3333  0.05
Cd 0.5000 0.3346 0.3346  0.00
Cd 0.5000 0.0000 0.3346  0.00
Cd 0.5000 0.3346 0.0000  0.00
Cd 0.5000 0.6654 0.6654  0.00

Results
DOS(E_F)   7.9 states/eV/cell
DFT formation energy   -0.344 eV per atom
SG   P6/mmm
E above lowest polymorph   0.000 eV/atom

(2)
DFT (PBE) results for Pm2Pr2Cd3 after structural relaxation.

a b c (Å): 8.2741 8.2741 8.2741
angles (deg): 109.47 109.47 109.47
Fractional positions:
Cd 0.6186 0.7500 0.8686
Pm 0.1473 0.6473 0.6473
Cd 0.3686 0.1186 0.7500
Pm 0.3527 0.5000 0.0000
Cd 0.1314 0.3814 0.2500
Pr 0.0000 0.0000 0.3441
Pr 0.6559 0.1559 0.1559
Pr 0.5000 0.3441 0.5000
Cd 0.8814 0.2500 0.6314
Pm 0.0000 0.0000 0.8527
Cd 0.2500 0.8686 0.1186
Pr 0.8441 0.5000 0.0000
Cd 0.7500 0.6314 0.3814
Pm 0.5000 0.8527 0.5000

Results
DOS(E_F)   22.8 states/eV/cell
DFT formation energy   -0.114 eV per atom
SG   I2_13

(3)
DFT (PBE) results for PmPr3Cd after structural relaxation.

a b c (Å): 6.5117 10.2222 10.2222
angles (deg): 83.89 100.23 100.23
Fractional positions:
Cd 0.7500 0.8756 0.1244
Pr 0.3738 0.8663 0.7368
Pm 0.0047 0.3937 0.7963
Pm 0.9953 0.6063 0.2037
Pr 0.8815 0.0062 0.6281
Pr 0.1185 0.9938 0.3719
Pm 0.5047 0.7963 0.3937
Pr 0.4909 0.5374 0.6640
Pr 0.6185 0.3719 0.9938
Pr 0.1262 0.2632 0.1337
Pr 0.6262 0.1337 0.2632
Pr 0.0091 0.3360 0.4626
Cd 0.2500 0.1244 0.8756
Pr 0.5091 0.4626 0.3360
Pr 0.8738 0.7368 0.8663
Pr 0.9909 0.6640 0.5374
Pm 0.4953 0.2037 0.6063
Cd 0.7500 0.0919 0.9081
Cd 0.2500 0.9081 0.0919
Pr 0.3815 0.6281 0.0062

Results
DOS(E_F)   25.7 states/eV/cell
DFT formation energy   -0.041 eV per atom
SG   C2/c
E above lowest polymorph   0.070 eV/atom

(4)
DFT (PBE) results for Pm4PrCd5 after structural relaxation.

a b c (Å): 3.8442 3.8442 19.1930
angles (deg): 90.00 90.00 90.00
Site moments in Bohr magnetons follow the coordinates.
Fractional positions:
Pm 0.0000 0.0000 0.2022  0.18
Cd 0.5000 0.5000 0.3013  0.01
Pm 0.0000 0.0000 0.7978  0.18
Cd 0.5000 0.5000 0.1037  0.01
Pm 0.0000 0.0000 0.5992  0.19
Pr 0.0000 0.0000 0.0000  0.20
Pm 0.0000 0.0000 0.4008  0.19
Cd 0.5000 0.5000 0.8963  0.01
Cd 0.5000 0.5000 0.5000  0.01
Cd 0.5000 0.5000 0.6987  0.01

Results
DOS(E_F)   12.1 states/eV/cell
DFT formation energy   -0.319 eV per atom
SG   P4/mmm